A plane-wave DFT calculation with PBE was carried out for a relaxed structure of Be2PbAu.

Computed properties:
**Total magnetic moment**: 0.00 μB/f.u.
**Symmetry**: F-43m, No. 216
**V**: 71.6 Å³/cell

Lattice parameters (Å, degrees): 4.6609 4.6609 4.6609 60.00 60.00 60.00
Closest atoms and distances in Å follow each position.
Sites, in units of the cell vectors:
Pb 0.7500 0.7500 0.7500  4 Be 2.85, 4 Au 2.85
Be 0.0000 0.0000 0.0000  4 Be 2.85, 4 Pb 2.85
Be 0.2500 0.2500 0.2500  4 Au 2.85, 4 Be 2.85
Au 0.5000 0.5000 0.5000  4 Pb 2.85, 4 Be 2.85

=====

A plane-wave DFT calculation with PBE was carried out for a relaxed structure of Be3PbAu.

Computed properties:
**Total magnetic moment**: 0.00 μB/f.u.
**Symmetry**: Pm-3m, No. 221
**V**: 89.0 Å³/cell

Lattice parameters (Å, degrees): 4.4645 4.4645 4.4645 90.00 90.00 90.00
Closest atoms and distances in Å follow each position.
Sites, in units of the cell vectors:
Pb 0.5000 0.5000 0.5000  12 Be 3.16
Be 0.0000 0.5000 0.0000  2 Au 2.23
Be 0.0000 0.0000 0.5000  2 Au 2.23
Be 0.5000 0.0000 0.0000  2 Au 2.23
Au 0.0000 0.0000 0.0000  6 Be 2.23

=====

A plane-wave DFT calculation with PBE was carried out for a relaxed structure of BePb2Au.

Computed properties:
**Total magnetic moment**: 0.00 μB/f.u.
**Symmetry**: I-42d, No. 122
**V**: 205.8 Å³/cell

Lattice parameters (Å, degrees): 4.9397 4.9397 9.1272 74.30 74.30 90.00
Closest atoms and distances in Å follow each position.
Sites, in units of the cell vectors:
Pb 0.5902 0.1250 0.2500  2 Be 2.66, 2 Au 2.82
Pb 0.1598 0.6250 0.2500  2 Be 2.66, 2 Au 2.82
Pb 0.3750 0.4098 0.7500  2 Be 2.66, 2 Au 2.82
Pb 0.8750 0.8402 0.7500  2 Be 2.66, 2 Au 2.82
Be 0.5000 0.5000 0.0000  4 Pb 2.66
Be 0.2500 0.7500 0.5000  4 Pb 2.66
Au 0.0000 0.0000 0.0000  4 Pb 2.82
Au 0.7500 0.2500 0.5000  4 Pb 2.82

=====

no.,energy relative to the elements (eV/f.u.)
1,2.93
2,2.28
3,1.86